No. 1
This record from the Alexandria database describes a relaxed Zr5TaRu6 crystal. The functional is PBE.

a b c (Å): 4.621 6.506 7.973
angles (deg): 65.92 73.20 90.00
Element x y z (fractional)
Ru 0.836 0.590 0.327
Ru 0.500 0.757 0.000
Ru 0.500 0.243 0.000
Ru 0.836 0.083 0.327
Ru 0.164 0.410 0.673
Ru 0.164 0.917 0.673
Zr 0.334 0.834 0.331
Zr 0.667 0.667 0.666
Zr 0.666 0.166 0.669
Zr 0.333 0.333 0.334
Zr 0.000 0.500 0.000
Ta 0.000 0.000 0.000

Properties
* spin magnetization: 0.00 μB/f.u.
* space group: C2/m
* DFT formation energy: -0.5917 eV per atom

***

No. 2
This record from the Alexandria database describes a relaxed ZrTaRu crystal. The functional is PBE.

a b c (Å): 5.653 5.653 3.224
angles (deg): 73.43 73.43 33.13
Element x y z (fractional)
Zr 0.661 0.661 0.339
Ta 0.346 0.346 0.654
Ru 0.993 0.993 0.007

Properties
* spin magnetization: 0.00 μB/f.u.
* energy above the lowest structure with this stoichiometry: 0.13 eV/f.u.
* space group: I4mm
* DFT formation energy: -0.3717 eV per atom

***

No. 3
This record from the Alexandria database describes a relaxed Zr2TaRu2 crystal. The functional is PBE.

a b c (Å): 6.586 6.586 4.401
angles (deg): 90.00 90.00 90.00
Element x y z (fractional)
Ru 0.139 0.361 0.000
Ru 0.639 0.139 0.000
Ru 0.361 0.861 0.000
Ru 0.861 0.639 0.000
Zr 0.179 0.679 0.500
Zr 0.321 0.179 0.500
Zr 0.679 0.821 0.500
Zr 0.821 0.321 0.500
Ta 0.500 0.500 0.000
Ta 0.000 0.000 0.000

Properties
* spin magnetization: 0.00 μB/f.u.
* space group: P4/mbm
* DFT formation energy: -0.2667 eV per atom

***

No. 4
This record from the Alexandria database describes a relaxed ZrTaRu crystal. The functional is PBE.

a b c (Å): 4.531 4.531 3.018
angles (deg): 90.00 90.00 120.00
Element x y z (fractional)
Ru 0.000 0.000 0.014
Ta 0.333 0.667 0.296
Zr 0.667 0.333 0.689

Properties
* spin magnetization: 0.00 μB/f.u.
* energy above the lowest structure with this stoichiometry: 0.79 eV/f.u.
* space group: P3m1
* DFT formation energy: -0.1488 eV per atom

***

No. 5
This record from the Alexandria database describes a relaxed ZrTa3Ru crystal. The functional is PBE.

a b c (Å): 4.796 4.796 4.796
angles (deg): 90.00 90.00 90.00
Element x y z (fractional)
Ru 0.500 0.500 0.500
Ta 0.000 0.000 0.500
Ta 0.000 0.500 0.000
Ta 0.500 0.000 0.000
Zr 0.000 0.000 0.000

Properties
* spin magnetization: 0.00 μB/f.u.
* energy above the lowest structure with this stoichiometry: 6.68 eV/f.u.
* space group: Pm-3m
* DFT formation energy: 2.2223 eV per atom

***

No. 6
This record from the Alexandria database describes a relaxed ZrTa5Ru6 crystal. The functional is PBE.

a b c (Å): 4.565 6.196 7.108
angles (deg): 90.00 104.20 90.00
Element x y z (fractional)
Ru 0.129 0.253 0.320
Ru 0.871 0.747 0.680
Ru 0.871 0.253 0.680
Ru 0.500 0.744 0.000
Ru 0.129 0.747 0.320
Ru 0.500 0.256 0.000
Ta 0.000 0.500 0.000
Ta 0.355 0.500 0.657
Ta 0.355 0.000 0.654
Ta 0.645 0.500 0.343
Ta 0.645 0.000 0.346
Zr 0.000 0.000 0.000

Properties
* spin magnetization: 0.00 μB/f.u.
* space group: P2/m
* DFT formation energy: -0.3765 eV per atom

***

No. 7
This record from the Alexandria database describes a relaxed ZrTa3Ru crystal. The functional is PBE.

a b c (Å): 4.805 4.805 4.805
angles (deg): 90.00 90.00 90.00
Element x y z (fractional)
Ta 0.000 0.000 0.500
Ta 0.500 0.000 0.000
Ta 0.000 0.500 0.000
Zr 0.500 0.500 0.500
Ru 0.000 0.000 0.000

Properties
* spin magnetization: 0.00 μB/f.u.
* energy above the lowest structure with this stoichiometry: 0.00 eV/f.u.
* space group: Pm-3m
* DFT formation energy: 0.8862 eV per atom

***

No. 8
This record from the Alexandria database describes a relaxed ZrTaRu crystal. The functional is PBE.

a b c (Å): 4.622 14.218 3.246
angles (deg): 90.00 90.00 90.00
Element x y z (fractional)
Zr 0.500 0.329 0.500
Zr 0.000 0.829 0.500
Zr 0.000 0.171 0.500
Zr 0.500 0.671 0.500
Ru 0.500 0.837 0.000
Ru 0.000 0.663 0.000
Ru 0.000 0.337 0.000
Ru 0.500 0.163 0.000
Ta 0.500 0.000 0.500
Ta 0.000 0.500 0.500
Ta 0.000 0.000 0.000
Ta 0.500 0.500 0.000

Properties
* spin magnetization: 0.00 μB/f.u.
* energy above the lowest structure with this stoichiometry: 0.18 eV/f.u.
* space group: Cmmm
* DFT formation energy: -0.3522 eV per atom

***

No. 9
This record from the Alexandria database describes a relaxed ZrTaRu4 crystal. The functional is PBE.

a b c (Å): 5.160 5.160 5.160
angles (deg): 60.00 60.00 60.00
Element x y z (fractional)
Ru 0.375 0.375 0.375
Ru 0.875 0.375 0.375
Ru 0.375 0.875 0.375
Ru 0.375 0.375 0.875
Zr 0.000 0.000 0.000
Ta 0.750 0.750 0.750

Properties
* spin magnetization: 0.00 μB/f.u.
* space group: F-43m
* DFT formation energy: -0.1770 eV per atom

***

No. 10
This record from the Alexandria database describes a relaxed ZrTa4Ru crystal. The functional is PBE.

a b c (Å): 5.446 5.446 5.446
angles (deg): 60.00 60.00 60.00
Element x y z (fractional)
Zr 0.750 0.750 0.750
Ru 0.000 0.000 0.000
Ta 0.875 0.375 0.375
Ta 0.375 0.375 0.375
Ta 0.375 0.875 0.375
Ta 0.375 0.375 0.875

Properties
* spin magnetization: 0.00 μB/f.u.
* space group: F-43m
* DFT formation energy: 0.2043 eV per atom

***

No. 11
This record from the Alexandria database describes a relaxed ZrTaRu crystal. The functional is PBE.

a b c (Å): 4.650 4.650 5.637
angles (deg): 90.00 90.00 120.00
Element x y z (fractional)
Ru 0.333 0.667 0.039
Ru 0.667 0.333 0.367
Ta 0.667 0.333 0.892
Ta 0.000 0.000 0.195
Zr 0.000 0.000 0.704
Zr 0.333 0.667 0.530

Properties
* spin magnetization: 0.00 μB/f.u.
* energy above the lowest structure with this stoichiometry: 0.55 eV/f.u.
* space group: P3m1
* DFT formation energy: -0.2320 eV per atom

***

No. 12
This record from the Alexandria database describes a relaxed ZrTaRu crystal. The functional is PBE.

a b c (Å): 5.650 5.547 9.007
angles (deg): 90.00 128.25 90.00
Element x y z (fractional)
Zr 0.408 0.500 0.633
Zr 0.408 0.000 0.133
Zr 0.275 0.000 0.747
Zr 0.275 0.500 0.247
Ru 0.779 0.752 0.997
Ru 0.779 0.748 0.497
Ru 0.779 0.248 0.997
Ru 0.779 0.252 0.497
Ta 0.125 0.500 0.856
Ta 0.767 0.500 0.239
Ta 0.767 0.000 0.739
Ta 0.125 0.000 0.356

Properties
* spin magnetization: 0.00 μB/f.u.
* energy above the lowest structure with this stoichiometry: 0.63 eV/f.u.
* space group: Cm
* DFT formation energy: -0.2049 eV per atom

***

No. 13
This record from the Alexandria database describes a relaxed ZrTa4Ru2 crystal. The functional is PBE.

a b c (Å): 4.793 4.793 7.375
angles (deg): 71.04 71.04 90.00
Element x y z (fractional)
Ta 0.000 0.500 0.000
Ta 0.208 0.208 0.584
Ta 0.500 0.000 0.000
Ta 0.792 0.792 0.416
Ru 0.389 0.389 0.222
Ru 0.611 0.611 0.778
Zr 0.000 0.000 0.000

Properties
* spin magnetization: 0.00 μB/f.u.
* space group: I4/mmm
* DFT formation energy: 1.4878 eV per atom

***

No. 14
This record from the Alexandria database describes a relaxed ZrTaRu crystal. The functional is PBE.

a b c (Å): 4.447 4.447 4.447
angles (deg): 60.00 60.00 60.00
Element x y z (fractional)
Zr 0.500 0.500 0.500
Ta 0.000 0.000 0.000
Ru 0.750 0.750 0.750

Properties
* spin magnetization: 0.00 μB/f.u.
* energy above the lowest structure with this stoichiometry: 1.32 eV/f.u.
* space group: F-43m
* DFT formation energy: 0.0247 eV per atom

***

No. 15
This record from the Alexandria database describes a relaxed ZrTaRu crystal. The functional is PBE.

a b c (Å): 3.028 5.239 7.134
angles (deg): 87.44 78.00 78.90
Element x y z (fractional)
Ru 0.397 0.253 0.702
Ru 0.603 0.747 0.298
Ta 0.000 0.000 0.000
Ta 0.500 0.500 0.000
Zr 0.921 0.752 0.643
Zr 0.079 0.248 0.357

Properties
* spin magnetization: 0.00 μB/f.u.
* energy above the lowest structure with this stoichiometry: 0.55 eV/f.u.
* space group: P-1
* DFT formation energy: -0.2310 eV per atom

***

No. 16
This record from the Alexandria database describes a relaxed ZrTaRu crystal. The functional is PBE.

a b c (Å): 4.588 10.237 4.559
angles (deg): 90.00 90.00 90.00
Element x y z (fractional)
Ta 0.500 0.410 0.250
Ta 0.000 0.090 0.750
Ta 0.500 0.590 0.750
Ta 0.000 0.910 0.250
Ru 0.500 0.249 0.750
Ru 0.500 0.751 0.250
Ru 0.000 0.749 0.750
Ru 0.000 0.251 0.250
Zr 0.000 0.406 0.750
Zr 0.500 0.906 0.750
Zr 0.500 0.094 0.250
Zr 0.000 0.594 0.250

Properties
* spin magnetization: 0.00 μB/f.u.
* energy above the lowest structure with this stoichiometry: 0.13 eV/f.u.
* space group: Cmcm
* DFT formation energy: -0.3691 eV per atom

***

No. 17
This record from the Alexandria database describes a relaxed Zr3TaRu crystal. The functional is PBE.

a b c (Å): 4.938 4.938 4.938
angles (deg): 90.00 90.00 90.00
Element x y z (fractional)
Ru 0.000 0.000 0.000
Zr 0.000 0.500 0.000
Zr 0.500 0.000 0.000
Zr 0.000 0.000 0.500
Ta 0.500 0.500 0.500

Properties
* spin magnetization: 0.00 μB/f.u.
* energy above the lowest structure with this stoichiometry: 0.00 eV/f.u.
* space group: Pm-3m
* DFT formation energy: 0.6733 eV per atom

***

No. 18
This record from the Alexandria database describes a relaxed ZrTaRu crystal. The functional is PBE.

a b c (Å): 4.679 4.679 5.606
angles (deg): 90.00 90.00 120.00
Element x y z (fractional)
Ta 0.000 0.000 0.500
Ta 0.000 0.000 0.000
Zr 0.333 0.667 0.324
Zr 0.667 0.333 0.676
Ru 0.333 0.667 0.835
Ru 0.667 0.333 0.165

Properties
* spin magnetization: 0.00 μB/f.u.
* energy above the lowest structure with this stoichiometry: 0.42 eV/f.u.
* space group: P-3m1
* DFT formation energy: -0.2738 eV per atom

***

No. 19
This record from the Alexandria database describes a relaxed Zr3TaRu crystal. The functional is PBE.

a b c (Å): 5.020 5.020 5.020
angles (deg): 90.00 90.00 90.00
Element x y z (fractional)
Zr 0.000 0.000 0.500
Zr 0.000 0.500 0.000
Zr 0.500 0.000 0.000
Ru 0.500 0.500 0.500
Ta 0.000 0.000 0.000

Properties
* spin magnetization: 0.00 μB/f.u.
* energy above the lowest structure with this stoichiometry: 3.30 eV/f.u.
* space group: Pm-3m
* DFT formation energy: 1.3328 eV per atom

***

No. 20
This record from the Alexandria database describes a relaxed Tb3Ru crystal. The functional is PBE.

a b c (Å): 6.295 11.597 11.597
angles (deg): 90.00 90.00 90.00
Element x y z (fractional)
Ru 0.765 0.200 0.062
Ru 0.765 0.800 0.938
Ru 0.265 0.562 0.300
Ru 0.235 0.062 0.800
Ru 0.265 0.438 0.700
Ru 0.235 0.938 0.200
Ru 0.735 0.300 0.438
Ru 0.735 0.700 0.562
Tb 0.554 0.344 0.218
Tb 0.946 0.844 0.718
Tb 0.775 0.442 0.631
Tb 0.775 0.558 0.369
Tb 0.725 0.058 0.869
Tb 0.225 0.369 0.442
Tb 0.946 0.156 0.282
Tb 0.554 0.656 0.782
Tb 0.441 0.084 0.365
Tb 0.941 0.865 0.416
Tb 0.054 0.718 0.156
Tb 0.725 0.942 0.131
Tb 0.059 0.416 0.135
Tb 0.441 0.916 0.635
Tb 0.446 0.218 0.656
Tb 0.225 0.631 0.558
Tb 0.275 0.869 0.942
Tb 0.559 0.635 0.084
Tb 0.054 0.282 0.844
Tb 0.446 0.782 0.344
Tb 0.059 0.584 0.865
Tb 0.941 0.135 0.584
Tb 0.275 0.131 0.058
Tb 0.559 0.365 0.916

Properties
* spin magnetization: 0.00 μB/f.u.
* space group: P4_2/n
* DFT formation energy: -0.2197 eV per atom

***

No. 21
This record from the Alexandria database describes a relaxed TbRu6 crystal. The functional is PBE.

a b c (Å): 5.793 5.793 5.793
angles (deg): 109.47 109.47 109.47
Element x y z (fractional)
Ru 0.250 0.750 0.500
Ru 0.750 0.500 0.250
Ru 0.750 0.250 0.500
Ru 0.500 0.250 0.750
Ru 0.500 0.750 0.250
Ru 0.250 0.500 0.750
Tb 0.000 0.000 0.000

Properties
* spin magnetization: 0.00 μB/f.u.
* space group: Im-3m
* DFT formation energy: 0.7120 eV per atom

***

No. 22
This record from the Alexandria database describes a relaxed TbRu3 crystal. The functional is PBE.

a b c (Å): 4.052 4.052 4.052
angles (deg): 90.00 90.00 90.00
Element x y z (fractional)
Ru 0.000 0.500 0.500
Ru 0.500 0.500 0.000
Ru 0.500 0.000 0.500
Tb 0.000 0.000 0.000

Properties
* spin magnetization: 0.00 μB/f.u.
* space group: Pm-3m
* DFT formation energy: 0.1922 eV per atom

***

No. 23
This record from the Alexandria database describes a relaxed Tb4Ru3 crystal. The functional is PBE.

a b c (Å): 4.887 4.887 8.114
angles (deg): 72.47 72.47 60.00
Element x y z (fractional)
Tb 0.126 0.126 0.623
Tb 0.874 0.874 0.377
Tb 0.376 0.376 0.871
Tb 0.624 0.624 0.129
Ru 0.000 0.000 0.000
Ru 0.251 0.251 0.246
Ru 0.749 0.749 0.754

Properties
* spin magnetization: 0.00 μB/f.u.
* space group: R-3m
* DFT formation energy: -0.2557 eV per atom

***

No. 24
This record from the Alexandria database describes a relaxed Tb3Ru crystal. The functional is PBE.

a b c (Å): 6.343 7.313 9.265
angles (deg): 90.00 90.00 90.00
Element x y z (fractional)
Ru 0.541 0.614 0.750
Ru 0.459 0.386 0.250
Ru 0.041 0.886 0.250
Ru 0.959 0.114 0.750
Tb 0.169 0.177 0.435
Tb 0.635 0.041 0.250
Tb 0.831 0.823 0.935
Tb 0.669 0.323 0.935
Tb 0.669 0.323 0.565
Tb 0.135 0.459 0.750
Tb 0.865 0.541 0.250
Tb 0.365 0.959 0.750
Tb 0.331 0.677 0.065
Tb 0.331 0.677 0.435
Tb 0.169 0.177 0.065
Tb 0.831 0.823 0.565

Properties
* spin magnetization: 0.00 μB/f.u.
* space group: Pnma
* DFT formation energy: -0.3066 eV per atom